[1]
# Nd5In2Hg2, optimized geometry, DFT PBE
# - Density of states at the Fermi level: 38.752 states/eV/cell
# - ΔE_f: -0.318 eV per atom
# - Total magnetization: 0.00 μB/cell
# - Electronic total energy: -32.8 eV/f.u.
data_Nd5In2Hg2
_chemical_formula_sum 'Nd20 In8 Hg8'
_cell_length_a 17.765
_cell_length_b 9.457
_cell_length_c 6.592
_cell_angle_alpha 90.00
_cell_angle_beta 90.00
_cell_angle_gamma 90.00
_space_group_name_H-M_alt 'I m a 2'
_space_group_IT_number 46
_space_group_name_Hall 'I 2 -2a'
loop_
_atom_site_label
_atom_site_type_symbol
_atom_site_fract_x
_atom_site_fract_y
_atom_site_fract_z
Nd1 Nd 0.083 0.218 0.000
Nd2 Nd 0.152 0.637 0.285
Nd3 Nd 0.250 0.003 0.294
In1 In 0.072 0.571 0.777
Hg1 Hg 0.000 0.000 0.684
Hg2 Hg 0.250 0.156 0.760

[2]
# Nd3In2Hg4, optimized geometry, DFT PBE
# - Density of states at the Fermi level: 9.858 states/eV/cell
# - ΔE_f: -0.470 eV per atom
# - Total magnetization: 0.00 μB/cell
# - Electronic total energy: -25.2 eV/f.u.
data_Nd3In2Hg4
_chemical_formula_sum 'Nd6 In4 Hg8'
_cell_length_a 11.375
_cell_length_b 4.983
_cell_length_c 9.446
_cell_angle_alpha 90.00
_cell_angle_beta 116.66
_cell_angle_gamma 90.00
_space_group_name_H-M_alt 'C 1 2/m 1'
_space_group_IT_number 12
_space_group_name_Hall '-C 2y'
loop_
_atom_site_label
_atom_site_type_symbol
_atom_site_fract_x
_atom_site_fract_y
_atom_site_fract_z
Nd1 Nd 0.000 0.000 0.000
Nd2 Nd 0.165 0.500 0.672
In1 In 0.111 0.500 0.276
Hg1 Hg 0.085 0.000 0.420
Hg2 Hg 0.195 0.500 0.027

[3]
# Nd2In3Hg6Pb, optimized geometry, DFT PBE
# - Density of states at the Fermi level: 8.452 states/eV/cell
# - ΔE_f: 0.027 eV per atom
# - Total magnetization: 0.00 μB/cell
# - Electronic total energy: -23.0 eV/f.u.
data_Nd2In3Hg6Pb
_chemical_formula_sum 'Nd2 In3 Hg6 Pb1'
_cell_length_a 4.528
_cell_length_b 4.528
_cell_length_c 19.874
_cell_angle_alpha 90.00
_cell_angle_beta 90.00
_cell_angle_gamma 90.00
_space_group_name_H-M_alt 'P 4/m m m'
_space_group_IT_number 123
_space_group_name_Hall '-P 4 2'
loop_
_atom_site_label
_atom_site_type_symbol
_atom_site_fract_x
_atom_site_fract_y
_atom_site_fract_z
Nd1 Nd 0.000 0.000 0.244
In1 In 0.500 0.500 0.219
In2 In 0.500 0.500 0.500
Hg1 Hg 0.000 0.500 0.116
Hg2 Hg 0.500 0.500 0.360
Pb1 Pb 0.000 0.000 0.000

[4]
# NdInHgPb, optimized geometry, DFT PBE
# - Density of states at the Fermi level: 1.480 states/eV/cell
# - ΔE_f: -0.424 eV per atom
# - Total magnetization: 0.00 μB/cell
# - Electronic total energy: -13.2 eV/f.u.
data_NdInHgPb
_chemical_formula_sum 'Nd1 In1 Hg1 Pb1'
_cell_length_a 4.705
_cell_length_b 4.709
_cell_length_c 4.882
_cell_angle_alpha 90.00
_cell_angle_beta 90.00
_cell_angle_gamma 90.00
_space_group_name_H-M_alt 'P m m m'
_space_group_IT_number 47
_space_group_name_Hall '-P 2 2'
loop_
_atom_site_label
_atom_site_type_symbol
_atom_site_fract_x
_atom_site_fract_y
_atom_site_fract_z
Nd1 Nd 0.000 0.000 0.000
In1 In 0.000 0.500 0.500
Hg1 Hg 0.500 0.000 0.500
Pb1 Pb 0.500 0.500 0.000

[5]
# NdIn3Hg4Pb2, optimized geometry, DFT PBE
# - Density of states at the Fermi level: 6.573 states/eV/cell
# - ΔE_f: -0.043 eV per atom
# - Total magnetization: 0.00 μB/cell
# - Electronic total energy: -22.0 eV/f.u.
data_NdIn3Hg4Pb2
_chemical_formula_sum 'Nd1 In3 Hg4 Pb2'
_cell_length_a 4.556
_cell_length_b 4.556
_cell_length_c 14.223
_cell_angle_alpha 90.00
_cell_angle_beta 90.00
_cell_angle_gamma 90.00
_space_group_name_H-M_alt 'P -4 m 2'
_space_group_IT_number 115
_space_group_name_Hall 'P -4 -2'
loop_
_atom_site_label
_atom_site_type_symbol
_atom_site_fract_x
_atom_site_fract_y
_atom_site_fract_z
Nd1 Nd 0.000 0.000 0.000
In1 In 0.000 0.500 0.352
In2 In 0.500 0.500 0.000
Hg1 Hg 0.000 0.000 0.500
Hg2 Hg 0.000 0.500 0.152
Hg3 Hg 0.500 0.500 0.500
Pb1 Pb 0.000 0.500 0.780

[6]
# Nd2InHg4Pb2, optimized geometry, DFT PBE
# - Density of states at the Fermi level: 12.383 states/eV/cell
# - ΔE_f: -0.150 eV per atom
# - Total magnetization: 0.00 μB/cell
# - Electronic total energy: -22.2 eV/f.u.
data_Nd2InHg4Pb2
_chemical_formula_sum 'Nd4 In2 Hg8 Pb4'
_cell_length_a 6.923
_cell_length_b 6.923
_cell_length_c 11.032
_cell_angle_alpha 90.00
_cell_angle_beta 90.00
_cell_angle_gamma 90.00
_space_group_name_H-M_alt 'I 4/m m m'
_space_group_IT_number 139
_space_group_name_Hall '-I 4 2'
loop_
_atom_site_label
_atom_site_type_symbol
_atom_site_fract_x
_atom_site_fract_y
_atom_site_fract_z
Nd1 Nd 0.000 0.000 0.218
In1 In 0.000 0.000 0.500
Hg1 Hg 0.219 0.219 0.000
Pb1 Pb 0.000 0.500 0.250

[7]
# NdInHgPb, optimized geometry, DFT PBE
# - Density of states at the Fermi level: 11.430 states/eV/cell
# - ΔE_f: -0.251 eV per atom
# - Total magnetization: 0.00 μB/cell
# - Electronic total energy: -12.5 eV/f.u.
data_NdInHgPb
_chemical_formula_sum 'Nd4 In4 Hg4 Pb4'
_cell_length_a 7.693
_cell_length_b 7.693
_cell_length_c 7.693
_cell_angle_alpha 90.00
_cell_angle_beta 90.00
_cell_angle_gamma 90.00
_space_group_name_H-M_alt 'F -4 3 m'
_space_group_IT_number 216
_space_group_name_Hall 'F -4 2 3'
loop_
_atom_site_label
_atom_site_type_symbol
_atom_site_fract_x
_atom_site_fract_y
_atom_site_fract_z
Nd1 Nd 0.000 0.000 0.000
In1 In 0.250 0.250 0.750
Hg1 Hg 0.250 0.250 0.250
Pb1 Pb 0.000 0.000 0.500

[8]
# PmNdInHg, optimized geometry, DFT PBE
# - Density of states at the Fermi level: 19.139 states/eV/cell
# - ΔE_f: -0.474 eV per atom
# - Total magnetization: 2.87 μB/cell
# - Electronic total energy: -14.5 eV/f.u.
data_PmNdInHg
_chemical_formula_sum 'Pm4 Nd4 In4 Hg4'
_cell_length_a 7.715
_cell_length_b 7.715
_cell_length_c 7.715
_cell_angle_alpha 90.00
_cell_angle_beta 90.00
_cell_angle_gamma 90.00
_space_group_name_H-M_alt 'F -4 3 m'
_space_group_IT_number 216
_space_group_name_Hall 'F -4 2 3'
loop_
_atom_site_label
_atom_site_type_symbol
_atom_site_fract_x
_atom_site_fract_y
_atom_site_fract_z
Pm1 Pm 0.000 0.000 0.000
Nd1 Nd 0.000 0.000 0.500
In1 In 0.250 0.250 0.750
Hg1 Hg 0.250 0.250 0.250

[9]
# Pm3Nd3InHg2, optimized geometry, DFT PBE
# - Density of states at the Fermi level: 12.867 states/eV/cell
# - ΔE_f: -0.285 eV per atom
# - Total magnetization: 0.00 μB/cell
# - Electronic total energy: -34.5 eV/f.u.
data_Pm3Nd3InHg2
_chemical_formula_sum 'Pm3 Nd3 In1 Hg2'
_cell_length_a 9.1067
_cell_length_b 9.1067
_cell_length_c 3.8136
_cell_angle_alpha 90.00
_cell_angle_beta 90.00
_cell_angle_gamma 120.00
_space_group_name_H-M_alt 'P -6 2 m'
_space_group_IT_number 189
_space_group_name_Hall 'P -6 -2'
loop_
_atom_site_label
_atom_site_type_symbol
_atom_site_fract_x
_atom_site_fract_y
_atom_site_fract_z
Pm1 Pm 0.0000 0.7127 0.0000
Nd1 Nd 0.0000 0.3847 0.5000
In1 In 0.0000 0.0000 0.5000
Hg1 Hg 0.3333 0.6667 0.0000

[10]
# Pr3Nd3InHg2, optimized geometry, DFT PBE
# - Density of states at the Fermi level: 12.835 states/eV/cell
# - ΔE_f: -0.278 eV per atom
# - Total magnetization: 0.00 μB/cell
# - Electronic total energy: -34.5 eV/f.u.
data_Pr3Nd3InHg2
_chemical_formula_sum 'Pr3 Nd3 In1 Hg2'
_cell_length_a 9.1790
_cell_length_b 9.1790
_cell_length_c 3.8333
_cell_angle_alpha 90.00
_cell_angle_beta 90.00
_cell_angle_gamma 120.00
_space_group_name_H-M_alt 'P -6 2 m'
_space_group_IT_number 189
_space_group_name_Hall 'P -6 -2'
loop_
_atom_site_label
_atom_site_type_symbol
_atom_site_fract_x
_atom_site_fract_y
_atom_site_fract_z
Pr1 Pr 0.0000 0.7124 0.0000
Nd1 Nd 0.0000 0.3851 0.5000
In1 In 0.0000 0.0000 0.5000
Hg1 Hg 0.3333 0.6667 0.0000

[11]
# Nd4InHg2Pt, optimized geometry, DFT PBE
# - Density of states at the Fermi level: 21.193 states/eV/cell
# - ΔE_f: -0.622 eV per atom
# - Total magnetization: 0.00 μB/cell
# - Electronic total energy: -33.4 eV/f.u.
data_Nd4InHg2Pt
_chemical_formula_sum 'Nd12 In3 Hg6 Pt3'
_cell_length_a 5.3774
_cell_length_b 5.3774
_cell_length_c 26.0474
_cell_angle_alpha 90.00
_cell_angle_beta 90.00
_cell_angle_gamma 120.00
_space_group_name_H-M_alt 'R -3 m'
_space_group_IT_number 166
_space_group_name_Hall '-R 3 2"'
loop_
_atom_site_label
_atom_site_type_symbol
_atom_site_fract_x
_atom_site_fract_y
_atom_site_fract_z
Nd1 Nd 0.0000 0.0000 0.1142
Nd2 Nd 0.0000 0.0000 0.3672
In1 In 0.0000 0.0000 0.5000
Hg1 Hg 0.0000 0.0000 0.2394
Pt1 Pt 0.0000 0.0000 0.0000

[12]
# NdInHgRh, optimized geometry, DFT PBE
# - Density of states at the Fermi level: 10.880 states/eV/cell
# - ΔE_f: -0.375 eV per atom
# - Total magnetization: 0.00 μB/cell
# - Electronic total energy: -16.7 eV/f.u.
data_NdInHgRh
_chemical_formula_sum 'Nd4 In4 Hg4 Rh4'
_cell_length_a 7.092
_cell_length_b 7.092
_cell_length_c 7.092
_cell_angle_alpha 90.00
_cell_angle_beta 90.00
_cell_angle_gamma 90.00
_space_group_name_H-M_alt 'F -4 3 m'
_space_group_IT_number 216
_space_group_name_Hall 'F -4 2 3'
loop_
_atom_site_label
_atom_site_type_symbol
_atom_site_fract_x
_atom_site_fract_y
_atom_site_fract_z
Nd1 Nd 0.000 0.000 0.000
In1 In 0.000 0.000 0.500
Hg1 Hg 0.250 0.250 0.250
Rh1 Rh 0.250 0.250 0.750

[13]
# Nd4InHg2Rh, optimized geometry, DFT PBE
# - Density of states at the Fermi level: 19.594 states/eV/cell
# - ΔE_f: -0.518 eV per atom
# - Total magnetization: 0.00 μB/cell
# - Electronic total energy: -33.9 eV/f.u.
data_Nd4InHg2Rh
_chemical_formula_sum 'Nd12 In3 Hg6 Rh3'
_cell_length_a 5.3664
_cell_length_b 5.3664
_cell_length_c 25.7979
_cell_angle_alpha 90.00
_cell_angle_beta 90.00
_cell_angle_gamma 120.00
_space_group_name_H-M_alt 'R -3 m'
_space_group_IT_number 166
_space_group_name_Hall '-R 3 2"'
loop_
_atom_site_label
_atom_site_type_symbol
_atom_site_fract_x
_atom_site_fract_y
_atom_site_fract_z
Nd1 Nd 0.0000 0.0000 0.1129
Nd2 Nd 0.0000 0.0000 0.3674
In1 In 0.0000 0.0000 0.5000
Hg1 Hg 0.0000 0.0000 0.2390
Rh1 Rh 0.0000 0.0000 0.0000

[14]
# Nd3In3Hg2Rh, optimized geometry, DFT PBE
# - Density of states at the Fermi level: 7.544 states/eV/cell
# - ΔE_f: -0.564 eV per atom
# - Total magnetization: 0.00 μB/cell
# - Electronic total energy: -35.5 eV/f.u.
data_Nd3In3Hg2Rh
_chemical_formula_sum 'Nd3 In3 Hg2 Rh1'
_cell_length_a 7.8252
_cell_length_b 7.8252
_cell_length_c 4.3091
_cell_angle_alpha 90.00
_cell_angle_beta 90.00
_cell_angle_gamma 120.00
_space_group_name_H-M_alt 'P -6 2 m'
_space_group_IT_number 189
_space_group_name_Hall 'P -6 -2'
loop_
_atom_site_label
_atom_site_type_symbol
_atom_site_fract_x
_atom_site_fract_y
_atom_site_fract_z
Nd1 Nd 0.0000 0.3934 0.0000
In1 In 0.0000 0.7616 0.5000
Hg1 Hg 0.3333 0.6667 0.5000
Rh1 Rh 0.0000 0.0000 0.0000

[15]
# Nd4InHg2Ru, optimized geometry, DFT PBE
# - Density of states at the Fermi level: 14.833 states/eV/cell
# - ΔE_f: -0.403 eV per atom
# - Total magnetization: 0.00 μB/cell
# - Electronic total energy: -34.9 eV/f.u.
data_Nd4InHg2Ru
_chemical_formula_sum 'Nd12 In3 Hg6 Ru3'
_cell_length_a 5.3583
_cell_length_b 5.3583
_cell_length_c 25.7690
_cell_angle_alpha 90.00
_cell_angle_beta 90.00
_cell_angle_gamma 120.00
_space_group_name_H-M_alt 'R -3 m'
_space_group_IT_number 166
_space_group_name_Hall '-R 3 2"'
loop_
_atom_site_label
_atom_site_type_symbol
_atom_site_fract_x
_atom_site_fract_y
_atom_site_fract_z
Nd1 Nd 0.0000 0.0000 0.1119
Nd2 Nd 0.0000 0.0000 0.3671
In1 In 0.0000 0.0000 0.5000
Hg1 Hg 0.0000 0.0000 0.2386
Ru1 Ru 0.0000 0.0000 0.0000

[16]
# NdScInHg, optimized geometry, DFT PBE
# - Density of states at the Fermi level: 17.270 states/eV/cell
# - ΔE_f: -0.422 eV per atom
# - Total magnetization: 2.36 μB/cell
# - Electronic total energy: -15.8 eV/f.u.
data_NdScInHg
_chemical_formula_sum 'Nd4 Sc4 In4 Hg4'
_cell_length_a 7.440
_cell_length_b 7.440
_cell_length_c 7.440
_cell_angle_alpha 90.00
_cell_angle_beta 90.00
_cell_angle_gamma 90.00
_space_group_name_H-M_alt 'F -4 3 m'
_space_group_IT_number 216
_space_group_name_Hall 'F -4 2 3'
loop_
_atom_site_label
_atom_site_type_symbol
_atom_site_fract_x
_atom_site_fract_y
_atom_site_fract_z
Nd1 Nd 0.000 0.000 0.000
Sc1 Sc 0.000 0.000 0.500
In1 In 0.250 0.250 0.750
Hg1 Hg 0.250 0.250 0.250

[17]
# NdSc2In2Hg2, optimized geometry, DFT PBE
# - Density of states at the Fermi level: 15.228 states/eV/cell
# - ΔE_f: -0.295 eV per atom
# - Total magnetization: 0.12 μB/cell
# - Electronic total energy: -25.6 eV/f.u.
data_NdSc2In2Hg2
_chemical_formula_sum 'Nd3 Sc6 In6 Hg6'
_cell_length_a 4.8278
_cell_length_b 4.8278
_cell_length_c 26.0590
_cell_angle_alpha 90.00
_cell_angle_beta 90.00
_cell_angle_gamma 120.00
_space_group_name_H-M_alt 'R -3 m'
_space_group_IT_number 166
_space_group_name_Hall '-R 3 2"'
loop_
_atom_site_label
_atom_site_type_symbol
_atom_site_fract_x
_atom_site_fract_y
_atom_site_fract_z
Nd1 Nd 0.0000 0.0000 0.0000
Sc1 Sc 0.0000 0.0000 0.1363
In1 In 0.0000 0.0000 0.2635
Hg1 Hg 0.0000 0.0000 0.4386

[18]
# Nd3Sm3InHg2, optimized geometry, DFT PBE
# - Density of states at the Fermi level: 13.181 states/eV/cell
# - ΔE_f: -0.273 eV per atom
# - Total magnetization: 0.00 μB/cell
# - Electronic total energy: -34.3 eV/f.u.
data_Nd3Sm3InHg2
_chemical_formula_sum 'Nd3 Sm3 In1 Hg2'
_cell_length_a 9.0514
_cell_length_b 9.0514
_cell_length_c 3.8479
_cell_angle_alpha 90.00
_cell_angle_beta 90.00
_cell_angle_gamma 120.00
_space_group_name_H-M_alt 'P -6 2 m'
_space_group_IT_number 189
_space_group_name_Hall 'P -6 -2'
loop_
_atom_site_label
_atom_site_type_symbol
_atom_site_fract_x
_atom_site_fract_y
_atom_site_fract_z
Nd1 Nd 0.0000 0.7106 0.0000
Sm1 Sm 0.0000 0.3824 0.5000
In1 In 0.0000 0.0000 0.5000
Hg1 Hg 0.3333 0.6667 0.0000

[19]
# NdSm2In2Hg2, optimized geometry, DFT PBE
# - Density of states at the Fermi level: 12.237 states/eV/cell
# - ΔE_f: -0.309 eV per atom
# - Total magnetization: 0.00 μB/cell
# - Electronic total energy: -22.5 eV/f.u.
data_NdSm2In2Hg2
_chemical_formula_sum 'Nd3 Sm6 In6 Hg6'
_cell_length_a 4.9766
_cell_length_b 4.9766
_cell_length_c 27.4100
_cell_angle_alpha 90.00
_cell_angle_beta 90.00
_cell_angle_gamma 120.00
_space_group_name_H-M_alt 'R -3 m'
_space_group_IT_number 166
_space_group_name_Hall '-R 3 2"'
loop_
_atom_site_label
_atom_site_type_symbol
_atom_site_fract_x
_atom_site_fract_y
_atom_site_fract_z
Nd1 Nd 0.0000 0.0000 0.0000
Sm1 Sm 0.0000 0.0000 0.1312
In1 In 0.0000 0.0000 0.2678
Hg1 Hg 0.0000 0.0000 0.4225

[20]
# Nd2In2SnHg4, optimized geometry, DFT PBE
# - Density of states at the Fermi level: 7.983 states/eV/cell
# - ΔE_f: -0.159 eV per atom
# - Total magnetization: 0.00 μB/cell
# - Electronic total energy: -21.7 eV/f.u.
data_Nd2In2SnHg4
_chemical_formula_sum 'Nd4 In4 Sn2 Hg8'
_cell_length_a 7.112
_cell_length_b 7.112
_cell_length_c 10.529
_cell_angle_alpha 90.00
_cell_angle_beta 90.00
_cell_angle_gamma 90.00
_space_group_name_H-M_alt 'I 4/m m m'
_space_group_IT_number 139
_space_group_name_Hall '-I 4 2'
loop_
_atom_site_label
_atom_site_type_symbol
_atom_site_fract_x
_atom_site_fract_y
_atom_site_fract_z
Nd1 Nd 0.000 0.000 0.209
In1 In 0.000 0.500 0.250
Sn1 Sn 0.000 0.000 0.500
Hg1 Hg 0.224 0.224 0.000